First-principles (meta-GGA SCAN) data for a PBEsol-optimized structure of Y3Ni4B4C3, as listed in Alexandria.

## Properties
Crystal system ... tetragonal
Calculated formation energy ... -8.44 eV/f.u.
Density ... 6.149 g/cm3

a b c (Å): 3.5294 3.5294 12.8349
angles (deg): 97.90 97.90 90.00
Last column: nearest neighbours and their distance in Å.
Atoms (fractional coordinates):
Y1 0.2994 0.2994 0.5987  5 C 2.41-2.50
Y2 0.7006 0.7006 0.4013  5 C 2.41-2.50
Y3 0.0000 0.0000 0.0000  4 C 2.50
Ni1 0.6006 0.1006 0.2012  4 B 2.05-2.08
Ni2 0.3994 0.8994 0.7988  4 B 2.05-2.08
Ni3 0.8994 0.3994 0.7988  4 B 2.05-2.08
Ni4 0.1006 0.6006 0.2012  4 B 2.05-2.08
C1 0.2036 0.2036 0.4072  1 B 1.50
C2 0.7964 0.7964 0.5928  1 B 1.50
C3 0.5000 0.5000 0.0000  2 B 1.50
B1 0.1441 0.1441 0.2881  1 C 1.50
B2 0.4406 0.4406 0.8812  1 C 1.50
B3 0.8559 0.8559 0.7119  1 C 1.50
B4 0.5594 0.5594 0.1188  1 C 1.50

First-principles (meta-GGA SCAN) data for a PBEsol-optimized structure of Tb5Co19P12, as listed in Alexandria.

## Properties
Crystal system ... hexagonal
Calculated formation energy ... -30.24 eV/f.u.
Density ... 8.601 g/cm3

a b c (Å): 3.6277 11.8526 11.8526
angles (deg): 120.00 90.00 90.00
Last column: nearest neighbours and their distance in Å.
Atoms (fractional coordinates):
Tb1 0.0000 0.6667 0.3333  6 P 2.79, 9 Co 2.96-2.97
Tb2 0.0000 0.3333 0.6667  6 P 2.79, 9 Co 2.96-2.97
Tb3 0.5000 0.8125 0.8125  6 P 2.82-2.84, 10 Co 2.87-3.05
Tb4 0.5000 0.0000 0.1875  6 P 2.82-2.84, 10 Co 2.87-3.05
Tb5 0.5000 0.1875 0.0000  6 P 2.82-2.84, 10 Co 2.87-3.05
Co1 0.0000 0.8003 0.1783  4 P 2.22-2.32
Co2 0.0000 0.3780 0.1997  4 P 2.22-2.32
Co3 0.0000 0.8217 0.6220  4 P 2.22-2.32
Co4 0.0000 0.1783 0.8003  4 P 2.22-2.32
Co5 0.0000 0.1997 0.3780  4 P 2.22-2.32
Co6 0.0000 0.6220 0.8217  4 P 2.22-2.32
Co7 0.0000 0.4463 0.4463  1 P 2.18
Co8 0.0000 0.0000 0.5537  1 P 2.18
Co9 0.0000 0.5537 0.0000  1 P 2.18
Co10 0.5000 0.8752 0.3588  4 P 2.20-2.30
Co11 0.5000 0.4836 0.1248  4 P 2.20-2.30
Co12 0.5000 0.6412 0.5164  4 P 2.20-2.30
Co13 0.5000 0.3588 0.8752  4 P 2.20-2.30
Co14 0.5000 0.1248 0.4836  4 P 2.20-2.30
Co15 0.5000 0.5164 0.6412  4 P 2.20-2.30
Co16 0.5000 0.2851 0.2851  4 P 2.15-2.19
Co17 0.5000 0.0000 0.7149  4 P 2.15-2.19
Co18 0.5000 0.7149 0.0000  4 P 2.15-2.19
Co19 0.0000 0.0000 0.0000  3 P 2.15
P1 0.0000 0.6306 0.6306  7 Co 2.18-2.32
P2 0.0000 0.0000 0.3694  7 Co 2.18-2.32
P3 0.0000 0.3694 0.0000  7 Co 2.18-2.32
P4 0.5000 0.6857 0.1653  5 Co 2.15-2.27
P5 0.5000 0.4796 0.3143  5 Co 2.15-2.27
P6 0.5000 0.8347 0.5204  5 Co 2.15-2.27
P7 0.5000 0.1653 0.6857  5 Co 2.15-2.27
P8 0.5000 0.3143 0.4796  5 Co 2.15-2.27
P9 0.5000 0.5204 0.8347  5 Co 2.15-2.27
P10 0.0000 0.1813 0.1813  5 Co 2.15-2.23
P11 0.0000 0.0000 0.8187  5 Co 2.15-2.23
P12 0.0000 0.8187 0.0000  5 Co 2.15-2.23

First-principles (meta-GGA SCAN) data for a PBEsol-optimized structure of Li3Cu2F8, as listed in Alexandria.

## Properties
Crystal system ... monoclinic
Uncorrected formation energy ... -2372 meV/atom
ΔE to the lowest computed polymorph ... 0.000 eV/atom
Density ... 3.477 g/cm3

a b c (Å): 5.1432 5.9082 9.4475
angles (deg): 93.78 90.00 90.00
Last column: nearest neighbours and their distance in Å.
Atoms (fractional coordinates):
Li1 0.9725 0.8422 0.7526  3 F 1.84-1.92
Li2 0.5275 0.8422 0.2526  3 F 1.84-1.92
Li3 0.0000 0.5000 0.0000  6 F 1.98-2.11
Li4 0.5000 0.5000 0.5000  6 F 1.98-2.11
Li5 0.4725 0.1578 0.7474  3 F 1.84-1.92
Li6 0.0275 0.1578 0.2474  3 F 1.84-1.92
Cu1 0.4817 0.6346 0.8678  6 F 1.87-2.05
Cu2 0.0183 0.6346 0.3678  6 F 1.87-2.05
Cu3 0.9817 0.3654 0.6322  6 F 1.87-2.05
Cu4 0.5183 0.3654 0.1322  6 F 1.87-2.05
F1 0.6286 0.9002 0.8066  2 Li 1.84-1.87, 1 Cu 1.87
F2 0.8714 0.9002 0.3066  2 Li 1.84-1.87, 1 Cu 1.87
F3 0.1605 0.7675 0.9194  1 Cu 1.88, 2 Li 1.92-1.98
F4 0.3395 0.7675 0.4194  1 Cu 1.88, 2 Li 1.92-1.98
F5 0.8542 0.6507 0.5663  2 Cu 1.95-2.05, 2 Li 2.11-2.12
F6 0.6458 0.6507 0.0663  2 Cu 1.95-2.05, 2 Li 2.11-2.12
F7 0.3013 0.5328 0.6832  2 Cu 1.96-2.03, 1 Li 2.01
F8 0.1987 0.5328 0.1832  2 Cu 1.96-2.03, 1 Li 2.01
F9 0.8013 0.4672 0.8168  2 Cu 1.96-2.03, 1 Li 2.01
F10 0.6987 0.4672 0.3168  2 Cu 1.96-2.03, 1 Li 2.01
F11 0.3542 0.3493 0.9337  2 Cu 1.95-2.05, 2 Li 2.11-2.12
F12 0.1458 0.3493 0.4337  2 Cu 1.95-2.05, 2 Li 2.11-2.12
F13 0.6605 0.2325 0.5806  1 Cu 1.88, 2 Li 1.92-1.98
F14 0.8395 0.2325 0.0806  1 Cu 1.88, 2 Li 1.92-1.98
F15 0.1286 0.0998 0.6934  2 Li 1.84-1.87, 1 Cu 1.87
F16 0.3714 0.0998 0.1934  2 Li 1.84-1.87, 1 Cu 1.87

First-principles (meta-GGA SCAN) data for a PBEsol-optimized structure of ZnCu2SnS4, as listed in Alexandria.

## Properties
Crystal system ... orthorhombic
Uncorrected formation energy ... -524 meV/atom
ΔE to the lowest computed polymorph ... 0.008 eV/atom
Density ... 4.707 g/cm3

a b c (Å): 6.2565 6.5593 7.5555
angles (deg): 90.00 90.00 90.00
Last column: nearest neighbours and their distance in Å.
Atoms (fractional coordinates):
Zn1 0.4988 0.1657 0.5000  4 S 2.32-2.34
Zn2 0.9988 0.8343 0.0000  4 S 2.32-2.34
Cu1 0.5033 0.6688 0.7495  4 S 2.26-2.28
Cu2 0.5033 0.6688 0.2505  4 S 2.26-2.28
Cu3 0.0033 0.3312 0.7505  4 S 2.26-2.28
Cu4 0.0033 0.3312 0.2495  4 S 2.26-2.28
Sn1 0.9992 0.8363 0.5000  4 S 2.43-2.45
Sn2 0.4992 0.1637 0.0000  4 S 2.43-2.45
S1 0.8646 0.6530 0.7583  2 Cu 2.26-2.28, 1 Zn 2.34, 1 Sn 2.44
S2 0.8646 0.6530 0.2417  2 Cu 2.26-2.28, 1 Zn 2.34, 1 Sn 2.44
S3 0.3646 0.3470 0.7417  2 Cu 2.26-2.28, 1 Zn 2.34, 1 Sn 2.44
S4 0.3646 0.3470 0.2583  2 Cu 2.26-2.28, 1 Zn 2.34, 1 Sn 2.44
S5 0.3901 0.8271 0.5000  2 Cu 2.27, 1 Zn 2.32, 1 Sn 2.45
S6 0.8901 0.1729 0.0000  2 Cu 2.27, 1 Zn 2.32, 1 Sn 2.45
S7 0.8709 0.1865 0.5000  2 Cu 2.27, 1 Zn 2.33, 1 Sn 2.43
S8 0.3709 0.8135 0.0000  2 Cu 2.27, 1 Zn 2.33, 1 Sn 2.43

First-principles (meta-GGA SCAN) data for a PBEsol-optimized structure of SrTeSe3, as listed in Alexandria.

## Properties
Crystal system ... cubic
Uncorrected formation energy ... -698 meV/atom
Density ... 5.061 g/cm3

a b c (Å): 5.2934 5.2934 5.2934
angles (deg): 90.00 90.00 90.00
Last column: nearest neighbours and their distance in Å.
Atoms (fractional coordinates):
Sr1 0.5000 0.5000 0.5000  12 Se 3.74
Te1 0.0000 0.0000 0.0000  6 Se 2.65
Se1 0.0000 0.5000 0.0000  2 Te 2.65
Se2 0.0000 0.0000 0.5000  2 Te 2.65
Se3 0.5000 0.0000 0.0000  2 Te 2.65

First-principles (meta-GGA SCAN) data for a PBEsol-optimized structure of ZrZn2, as listed in Alexandria.

## Properties
Crystal system ... tetragonal
Calculated formation energy ... -0.75 eV/f.u.
Density ... 7.095 g/cm3

a b c (Å): 3.7706 3.7706 7.7810
angles (deg): 104.02 104.02 90.00
Last column: nearest neighbours and their distance in Å.
Atoms (fractional coordinates):
Zn1 0.6703 0.1703 0.3405  3 Zn 2.30-2.33
Zn2 0.8297 0.3297 0.6595  3 Zn 2.30-2.33
Zn3 0.4203 0.4203 0.8405  3 Zn 2.30-2.33
Zn4 0.5797 0.5797 0.1595  3 Zn 2.30-2.33
Zr1 0.0000 0.0000 0.0000  12 Zn 2.91-3.12
Zr2 0.2500 0.7500 0.5000  12 Zn 2.91-3.12

First-principles (meta-GGA SCAN) data for a PBEsol-optimized structure of TaCo2Rh, as listed in Alexandria.

## Properties
Crystal system ... tetragonal
Calculated formation energy ... -0.94 eV/f.u.
ΔE to the lowest computed polymorph ... 0.042 eV/atom
Density ... 13.115 g/cm3

a b c (Å): 3.6889 3.6889 4.5580
angles (deg): 113.87 113.87 90.00
Last column: nearest neighbours and their distance in Å.
Atoms (fractional coordinates):
Co1 0.5000 0.5000 0.0000  4 Rh 2.61, 4 Ta 2.63, 4 Co 2.63
Co2 0.7500 0.2500 0.5000  4 Ta 2.61, 4 Co 2.63, 4 Rh 2.63
Rh1 0.0000 0.0000 0.0000  8 Co 2.61-2.63, 4 Ta 2.63
Ta1 0.2500 0.7500 0.5000  8 Co 2.61-2.63, 4 Rh 2.63

First-principles (meta-GGA SCAN) data for a PBEsol-optimized structure of CaIr2Se, as listed in Alexandria.

## Properties
Crystal system ... monoclinic
Uncorrected formation energy ... -197 meV/atom
ΔE to the lowest computed polymorph ... 0.000 eV/atom
Density ... 10.925 g/cm3

a b c (Å): 3.7767 3.6270 5.8257
angles (deg): 106.47 90.00 90.00
Last column: nearest neighbours and their distance in Å.
Atoms (fractional coordinates):
Ca1 0.5000 0.1919 0.7320  4 Ir 2.82-3.11, 4 Se 2.96-3.03
Ir1 0.0000 0.0543 0.0963  1 Se 2.42, 2 Ir 2.46
Ir2 0.5000 0.6969 0.1998  2 Ir 2.46, 2 Se 2.61
Se1 0.0000 0.5568 0.4719  3 Ir 2.42-2.61

First-principles (meta-GGA SCAN) data for a PBEsol-optimized structure of ErLuMg2, as listed in Alexandria.

## Properties
Crystal system ... cubic
Calculated formation energy ... -0.18 eV/f.u.
Density ... 6.410 g/cm3

a b c (Å): 5.2315 5.2315 5.2315
angles (deg): 60.00 60.00 60.00
Last column: nearest neighbours and their distance in Å.
Atoms (fractional coordinates):
Mg1 0.2500 0.2500 0.2500  4 Er 3.20, 4 Lu 3.20
Mg2 0.7500 0.7500 0.7500  4 Er 3.20, 4 Lu 3.20
Lu1 0.0000 0.0000 0.0000  8 Mg 3.20
Er1 0.5000 0.5000 0.5000  8 Mg 3.20

First-principles (meta-GGA SCAN) data for a PBEsol-optimized structure of RbAl2MoPb, as listed in Alexandria.

## Properties
Crystal system ... tetragonal
Calculated formation energy ... 11.48 eV/f.u.
Density ... 4.995 g/cm3

a b c (Å): 4.9398 5.4577 5.4577
angles (deg): 90.00 90.00 90.00
Last column: nearest neighbours and their distance in Å.
Atoms (fractional coordinates):
Pb1 0.5000 0.5000 0.5000  8 Al 3.68, 4 Mo 3.86
Mo1 0.5000 0.0000 0.0000  2 Rb 2.47
Al1 0.0000 0.0000 0.5000  2 Rb 2.73
Al2 0.0000 0.5000 0.0000  2 Rb 2.73
Rb1 0.0000 0.0000 0.0000  2 Mo 2.47, 4 Al 2.73

Number 1: V 11.2 Å³ per atom, E_tot -15.4772 eV per atom. Number 2: V 12.3 Å³ per atom, E_tot -19.9337 eV per atom. Number 3: V 11.0 Å³ per atom, E_tot -7.4408 eV per atom. Number 4: V 19.4 Å³ per atom, E_tot -15.3172 eV per atom. Number 5: V 29.7 Å³ per atom, E_tot -24.6498 eV per atom. Number 6: V 17.3 Å³ per atom, E_tot -19.4941 eV per atom. Number 7: V 12.7 Å³ per atom, E_tot -33.9756 eV per atom. Number 8: V 19.1 Å³ per atom, E_tot -43.1823 eV per atom. Number 9: V 25.3 Å³ per atom, E_tot -28.9518 eV per atom. Number 10: V 29.4 Å³ per atom, E_tot -27.0850 eV per atom.